Entry 1:
DFT (meta-GGA SCAN) results for a crystal of Zn3Hg relaxed with PBEsol.

Calculated values
Calculated total energy   -27.099 eV/atom
Calculated formation energy   0.079 eV per atom
Total moment   0.000 Bohr magnetons per cell
ρ   9906 kg/m³

a = 8.563 Å, b = 3.541 Å, c = 4.488 Å
α = 90.00°, β = 102.08°, γ = 90.00°
Space group C2/m (No. 12)
Unique sites:
Zn 0.000 0.000 0.000 x2
Zn 0.246 0.500 0.224 x4
Hg 0.000 0.500 0.500 x2

Entry 2:
DFT (meta-GGA SCAN) results for a crystal of Zn5Hg relaxed with PBEsol.

Calculated values
Calculated total energy   -22.523 eV/atom
Calculated formation energy   0.101 eV per atom
Total moment   0.000 Bohr magnetons per cell
ρ   9412 kg/m³

a = 4.001 Å, b = 11.809 Å, c = 3.940 Å
α = 90.00°, β = 90.00°, γ = 90.00°
Space group Cmmm (No. 65)
Unique sites:
Zn 0.000 0.000 0.000 x2
Zn 0.000 0.172 0.500 x4
Zn 0.000 0.324 0.000 x4
Hg 0.000 0.500 0.500 x2

Entry 3:
DFT (meta-GGA SCAN) results for a crystal of ZnHg2 relaxed with PBEsol.

Calculated values
Calculated total energy   -49.844 eV/atom
Calculated formation energy   0.105 eV per atom
Total moment   0.000 Bohr magnetons per cell
ρ   12646 kg/m³

a = 12.516 Å, b = 12.516 Å, c = 12.516 Å
α = 90.00°, β = 90.00°, γ = 90.00°
Space group Fd-3m (No. 227, origin choice 2)
Unique sites:
Zn 0.037 0.037 0.213 x32
Hg 0.000 0.000 0.000 x16
Hg 0.056 0.375 0.875 x48

Entry 4:
DFT (meta-GGA SCAN) results for a crystal of ZnHg relaxed with PBEsol.

Calculated values
Calculated total energy   -40.784 eV/atom
Calculated formation energy   0.057 eV per atom
Total moment   0.000 Bohr magnetons per cell
ρ   11085 kg/m³

a = 4.2685 Å, b = 4.2685 Å, c = 5.0504 Å
α = 90.00°, β = 90.00°, γ = 120.00°
Space group P6_3/mmc (No. 194)
Unique sites:
Zn 0.0000 0.0000 0.0000 x2
Hg 0.3333 0.6667 0.2500 x2

Entry 5:
DFT (meta-GGA SCAN) results for a crystal of Zr2ZnHg relaxed with PBEsol.

Calculated values
Calculated total energy   -36.105 eV/atom
Calculated formation energy   -0.335 eV per atom
Total moment   0.000 Bohr magnetons per cell
ρ   9720 kg/m³

a = 3.000 Å, b = 4.018 Å, c = 6.354 Å
α = 90.00°, β = 90.00°, γ = 90.00°
Space group Pmmm (No. 47)
Unique sites:
Zr 0.000 0.000 0.237 x2
Zn 0.500 0.500 0.000 x1
Hg 0.500 0.500 0.500 x1

Entry 6:
DFT (meta-GGA SCAN) results for a crystal of ZrZnHg2 relaxed with PBEsol.

Calculated values
Calculated total energy   -45.281 eV/atom
Calculated formation energy   -0.144 eV per atom
Total moment   0.000 Bohr magnetons per cell
ρ   12090 kg/m³

a = 3.141 Å, b = 3.141 Å, c = 7.765 Å
α = 90.00°, β = 90.00°, γ = 90.00°
Space group P4mm (No. 99)
Unique sites:
Zr 0.000 0.000 0.000 x1
Zn 0.500 0.500 0.769 x1
Hg 0.000 0.000 0.550 x1
Hg 0.500 0.500 0.270 x1

Entry 7:
DFT (meta-GGA SCAN) results for a crystal of Zr2ZnHg relaxed with PBEsol.

Calculated values
Calculated total energy   -36.032 eV/atom
Calculated formation energy   -0.263 eV per atom
Total moment   0.000 Bohr magnetons per cell
ρ   9605 kg/m³

a = 10.925 Å, b = 3.169 Å, c = 5.002 Å
α = 90.00°, β = 116.44°, γ = 90.00°
Space group Cm (No. 8)
Unique sites:
Zr 0.000 0.000 0.000 x2
Zr 0.236 0.000 0.749 x2
Zn 0.490 0.000 0.490 x2
Hg 0.270 0.500 0.283 x2

Entry 8:
DFT (meta-GGA SCAN) results for a crystal of Zr2Zn2Hg relaxed with PBEsol.

Calculated values
Calculated total energy   -31.724 eV/atom
Calculated formation energy   -0.405 eV per atom
Total moment   0.000 Bohr magnetons per cell
ρ   9378 kg/m³

a = 6.726 Å, b = 6.726 Å, c = 4.023 Å
α = 90.00°, β = 90.00°, γ = 90.00°
Space group P4/mbm (No. 127)
Unique sites:
Zr 0.169 0.331 0.000 x4
Zn 0.128 0.628 0.500 x4
Hg 0.000 0.000 0.500 x2